<A>
Below is a relaxed SrSbSe3 crystal, with properties calculated at the PBE level.

Cell: 5.3500 5.3500 5.3500 Å, 90.00 90.00 90.00°
Element x y z (fractional)
Sb 0.0000 0.0000 0.0000
Se 0.0000 0.5000 0.0000
Se 0.0000 0.0000 0.5000
Se 0.5000 0.0000 0.0000
Sr 0.5000 0.5000 0.5000

Computed properties:
**Magnetic moment**: 0.0 μB/cell
**Space-group type**: No. 221
**D(E_F)**: 3.7 states/eV/f.u.


<B>
Below is a relaxed SrSbSe3 crystal, with properties calculated at the PBE level.

Cell: 4.2215 8.1039 8.5825 Å, 96.98 90.00 90.00°
Element x y z (fractional)
Sr 0.2500 0.3397 0.2003
Sr 0.7500 0.6603 0.7997
Sb 0.2500 0.8248 0.3544
Sb 0.7500 0.1752 0.6456
Se 0.7500 0.6097 0.4226
Se 0.2500 0.3903 0.5774
Se 0.7500 0.3155 0.9389
Se 0.2500 0.9401 0.6934
Se 0.2500 0.6845 0.0611
Se 0.7500 0.0599 0.3066

Computed properties:
**Magnetic moment**: 0.0 μB/cell
**Space-group type**: No. 11
**D(E_F)**: 2.8 states/eV/f.u.


<C>
Below is a relaxed SrSbSe3 crystal, with properties calculated at the PBE level.

Cell: 5.6676 5.6676 5.6676 Å, 90.00 90.00 90.00°
Element x y z (fractional)
Sb 0.5000 0.5000 0.5000
Se 0.0000 0.5000 0.0000
Se 0.0000 0.0000 0.5000
Se 0.5000 0.0000 0.0000
Sr 0.0000 0.0000 0.0000

Computed properties:
**Magnetic moment**: 0.0 μB/cell
**Space-group type**: No. 221
**D(E_F)**: 10.4 states/eV/f.u.


<B> wins, 0.190 eV/atom ahead of the next structure.